# Na3AcHg4, relaxed, DFT PBE
data_Na3AcHg4
_chemical_formula_sum 'Na3 Ac1 Hg4'
_cell_length_a 9.361
_cell_length_b 9.361
_cell_length_c 9.361
_cell_angle_alpha 33.76
_cell_angle_beta 33.76
_cell_angle_gamma 33.76
_symmetry_space_group_name_H-M 'P 1'
_symmetry_Int_Tables_number 1
_symmetry_space_group_name_Hall 'P 1'
loop_
_atom_site_label
_atom_site_type_symbol
_atom_site_fract_x
_atom_site_fract_y
_atom_site_fract_z
_atom_site_occupancy
Na1 Na 0.000 0.000 0.000 1
Na2 Na 0.254 0.254 0.254 1
Na3 Na 0.746 0.746 0.746 1
Ac1 Ac 0.500 0.500 0.500 1
Hg1 Hg 0.123 0.123 0.123 1
Hg2 Hg 0.375 0.375 0.375 1
Hg3 Hg 0.625 0.625 0.625 1
Hg4 Hg 0.877 0.877 0.877 1
# Size of the total moment, μB/cell: 0.000
# Space-group type: No. 166
# V, Å³/cell: 225.8
# ΔH_f (0 K), eV/atom: -0.295
# Calculated total energy, eV/atom: -1.454

=====

# NaAcHg4, relaxed, DFT PBE
data_NaAcHg4
_chemical_formula_sum 'Na1 Ac1 Hg4'
_cell_length_a 3.666
_cell_length_b 5.180
_cell_length_c 8.874
_cell_angle_alpha 90.00
_cell_angle_beta 90.00
_cell_angle_gamma 90.00
_symmetry_space_group_name_H-M 'P 1'
_symmetry_Int_Tables_number 1
_symmetry_space_group_name_Hall 'P 1'
loop_
_atom_site_label
_atom_site_type_symbol
_atom_site_fract_x
_atom_site_fract_y
_atom_site_fract_z
_atom_site_occupancy
Na1 Na 0.000 0.000 0.000 1
Ac1 Ac 0.000 0.500 0.500 1
Hg1 Hg 0.500 0.000 0.326 1
Hg2 Hg 0.500 0.000 0.674 1
Hg3 Hg 0.500 0.500 0.160 1
Hg4 Hg 0.500 0.500 0.840 1
# Size of the total moment, μB/cell: 0.000
# Space-group type: No. 47
# V, Å³/cell: 168.5
# ΔH_f (0 K), eV/atom: -0.325
# Calculated total energy, eV/atom: -1.431

=====

# NaAc2Hg3, relaxed, DFT PBE
data_NaAc2Hg3
_chemical_formula_sum 'Na2 Ac4 Hg6'
_cell_length_a 10.498
_cell_length_b 9.843
_cell_length_c 6.483
_cell_angle_alpha 77.00
_cell_angle_beta 66.01
_cell_angle_gamma 37.00
_symmetry_space_group_name_H-M 'P 1'
_symmetry_Int_Tables_number 1
_symmetry_space_group_name_Hall 'P 1'
loop_
_atom_site_label
_atom_site_type_symbol
_atom_site_fract_x
_atom_site_fract_y
_atom_site_fract_z
_atom_site_occupancy
Na1 Na 0.167 0.167 0.833 1
Na2 Na 0.833 0.833 0.167 1
Ac1 Ac 0.250 0.250 0.250 1
Ac2 Ac 0.256 0.744 0.744 1
Ac3 Ac 0.744 0.256 0.256 1
Ac4 Ac 0.750 0.750 0.750 1
Hg1 Hg 0.160 0.671 0.329 1
Hg2 Hg 0.329 0.840 0.160 1
Hg3 Hg 0.331 0.331 0.669 1
Hg4 Hg 0.669 0.669 0.331 1
Hg5 Hg 0.671 0.160 0.840 1
Hg6 Hg 0.840 0.329 0.671 1
# Size of the total moment, μB/cell: 0.000
# Space-group type: No. 69
# V, Å³/cell: 362.2
# ΔH_f (0 K), eV/atom: -0.323
# Calculated total energy, eV/atom: -2.063

=====

# Na4AcHg2, relaxed, DFT PBE
data_Na4AcHg2
_chemical_formula_sum 'Na4 Ac1 Hg2'
_cell_length_a 10.735
_cell_length_b 10.735
_cell_length_c 4.883
_cell_angle_alpha 90.00
_cell_angle_beta 90.00
_cell_angle_gamma 157.03
_symmetry_space_group_name_H-M 'P 1'
_symmetry_Int_Tables_number 1
_symmetry_space_group_name_Hall 'P 1'
loop_
_atom_site_label
_atom_site_type_symbol
_atom_site_fract_x
_atom_site_fract_y
_atom_site_fract_z
_atom_site_occupancy
Na1 Na 0.169 0.831 0.000 1
Na2 Na 0.319 0.681 0.500 1
Na3 Na 0.681 0.319 0.500 1
Na4 Na 0.831 0.169 0.000 1
Ac1 Ac 0.500 0.500 0.000 1
Hg1 Hg 0.073 0.927 0.500 1
Hg2 Hg 0.927 0.073 0.500 1
# Size of the total moment, μB/cell: 0.000
# Space-group type: No. 65
# V, Å³/cell: 219.6
# ΔH_f (0 K), eV/atom: -0.162
# Calculated total energy, eV/atom: -1.589

=====

# Na2Ac3Hg7, relaxed, DFT PBE
data_Na2Ac3Hg7
_chemical_formula_sum 'Na2 Ac3 Hg7'
_cell_length_a 4.898
_cell_length_b 4.537
_cell_length_c 17.461
_cell_angle_alpha 90.00
_cell_angle_beta 98.04
_cell_angle_gamma 90.00
_symmetry_space_group_name_H-M 'P 1'
_symmetry_Int_Tables_number 1
_symmetry_space_group_name_Hall 'P 1'
loop_
_atom_site_label
_atom_site_type_symbol
_atom_site_fract_x
_atom_site_fract_y
_atom_site_fract_z
_atom_site_occupancy
Na1 Na 0.134 0.000 0.268 1
Na2 Na 0.866 0.000 0.732 1
Ac1 Ac 0.000 0.000 0.000 1
Ac2 Ac 0.299 0.500 0.598 1
Ac3 Ac 0.701 0.500 0.402 1
Hg1 Hg 0.073 0.500 0.147 1
Hg2 Hg 0.222 0.000 0.445 1
Hg3 Hg 0.425 0.000 0.849 1
Hg4 Hg 0.500 0.500 0.000 1
Hg5 Hg 0.575 0.000 0.151 1
Hg6 Hg 0.778 0.000 0.555 1
Hg7 Hg 0.927 0.500 0.853 1
# Size of the total moment, μB/cell: 0.000
# Space-group type: No. 10
# V, Å³/cell: 384.2
# ΔH_f (0 K), eV/atom: -0.261
# Calculated total energy, eV/atom: -1.684

=====

# NaAcHg2, relaxed, DFT PBE
data_NaAcHg2
_chemical_formula_sum 'Na1 Ac1 Hg2'
_cell_length_a 8.912
_cell_length_b 8.912
_cell_length_c 8.912
_cell_angle_alpha 27.42
_cell_angle_beta 27.42
_cell_angle_gamma 27.42
_symmetry_space_group_name_H-M 'P 1'
_symmetry_Int_Tables_number 1
_symmetry_space_group_name_Hall 'P 1'
loop_
_atom_site_label
_atom_site_type_symbol
_atom_site_fract_x
_atom_site_fract_y
_atom_site_fract_z
_atom_site_occupancy
Na1 Na 0.000 0.000 0.000 1
Ac1 Ac 0.169 0.169 0.169 1
Hg1 Hg 0.592 0.592 0.592 1
Hg2 Hg 0.744 0.744 0.744 1
# Size of the total moment, μB/cell: 0.000
# Space-group type: No. 160
# V, Å³/cell: 132.5
# ΔH_f (0 K), eV/atom: -0.219
# Calculated total energy, eV/atom: -1.727

=====

# NaAcHg4, relaxed, DFT PBE
data_NaAcHg4
_chemical_formula_sum 'Na1 Ac1 Hg4'
_cell_length_a 5.251
_cell_length_b 5.251
_cell_length_c 7.163
_cell_angle_alpha 90.06
_cell_angle_beta 90.06
_cell_angle_gamma 90.01
_symmetry_space_group_name_H-M 'P 1'
_symmetry_Int_Tables_number 1
_symmetry_space_group_name_Hall 'P 1'
loop_
_atom_site_label
_atom_site_type_symbol
_atom_site_fract_x
_atom_site_fract_y
_atom_site_fract_z
_atom_site_occupancy
Na1 Na 0.000 0.000 0.000 1
Ac1 Ac 0.500 0.500 0.500 1
Hg1 Hg 0.000 0.500 0.214 1
Hg2 Hg 0.000 0.500 0.786 1
Hg3 Hg 0.500 0.000 0.214 1
Hg4 Hg 0.500 0.000 0.786 1
# Size of the total moment, μB/cell: 0.000
# Space-group type: No. 12
# V, Å³/cell: 197.5
# ΔH_f (0 K), eV/atom: -0.145
# Calculated total energy, eV/atom: -1.251

=====

# Na2AcHg, relaxed, DFT PBE
data_Na2AcHg
_chemical_formula_sum 'Na2 Ac1 Hg1'
_cell_length_a 12.341
_cell_length_b 12.341
_cell_length_c 12.341
_cell_angle_alpha 17.27
_cell_angle_beta 17.27
_cell_angle_gamma 17.27
_symmetry_space_group_name_H-M 'P 1'
_symmetry_Int_Tables_number 1
_symmetry_space_group_name_Hall 'P 1'
loop_
_atom_site_label
_atom_site_type_symbol
_atom_site_fract_x
_atom_site_fract_y
_atom_site_fract_z
_atom_site_occupancy
Na1 Na 0.099 0.099 0.099 1
Na2 Na 0.901 0.901 0.901 1
Ac1 Ac 0.000 0.000 0.000 1
Hg1 Hg 0.500 0.500 0.500 1
# Size of the total moment, μB/cell: 0.000
# Space-group type: No. 166
# V, Å³/cell: 144.5
# ΔH_f (0 K), eV/atom: 0.071
# Calculated total energy, eV/atom: -1.691

=====

size of the total moment of number 3 (NaAc2Hg3)? 0.000 μB/cell

=====

Which of these has the highest ΔH_f (0 K)? Na2AcHg

=====

What is the size of the total moment in the third record? 0.000 μB/cell